No. 1
A plane-wave DFT calculation with GGA-PBE was carried out for a geometry-optimized TaCr2Ni structure.

energy relative to the lowest polymorph listed for this composition: 0.160 eV/atom
E: -9.028 eV per atom
total magnetic moment: 0.0 μB/cell
DFT formation energy: 192 meV/atom

abc: 2.585 2.585 8.123
angles: 90.00 90.00 102.68
Fractional positions:
Cr 0.000 0.000 0.024
Cr 0.000 0.000 0.476
Ta 0.500 0.500 0.750
Ni 0.500 0.500 0.250


No. 2
A plane-wave DFT calculation with GGA-PBE was carried out for a geometry-optimized Ta2CrNi9 structure.

E: -7.175 eV per atom
total magnetic moment: 3.2 μB/cell
DFT formation energy: -62 meV/atom

abc: 4.728 4.728 8.256
angles: 73.35 73.34 60.00
Fractional positions:
Ni 0.666 0.666 0.001
Ni 0.081 0.588 0.743
Ni 0.412 0.919 0.257
Ni 0.588 0.081 0.743
Ni 0.919 0.412 0.257
Ni 0.588 0.588 0.743
Ni 0.412 0.412 0.257
Ni 0.500 0.500 0.500
Ni 0.334 0.334 0.999
Ta 0.138 0.138 0.586
Ta 0.862 0.862 0.414
Cr 0.000 0.000 0.000


Which volume belongs to each record? In order, 13.235; 12.568 Å³ per atom.